(1)
# GGA+U Tl3FeW2O9, optimized geometry
data_Tl3FeW2O9
_chemical_formula_sum 'Tl3 Fe1 W2 O9'
_space_group_name_H-M_alt 'P -3 m 1'
_space_group_IT_number 164
_space_group_name_Hall '-P 3 2"'
_cell_length_a 5.7418
_cell_length_b 5.7418
_cell_length_c 7.0533
_cell_angle_alpha 90.00
_cell_angle_beta 90.00
_cell_angle_gamma 120.00
loop_
_atom_site_label
_atom_site_type_symbol
_atom_site_fract_x
_atom_site_fract_y
_atom_site_fract_z
Tl1 Tl 0.0000 0.0000 0.0000
Tl2 Tl 0.3333 0.6667 0.6635
Fe1 Fe 0.0000 0.0000 0.5000
W1 W 0.3333 0.6667 0.1733
O1 O 0.0000 0.5000 0.0000
O2 O 0.1726 0.3452 0.3233
# DOS at the Fermi energy: 0.081 states/eV per atom
# Total DFT energy (no corrections): -6.2354 eV/atom

(2)
# GGA+U Tl3Fe2WO9, optimized geometry
data_Tl3Fe2WO9
_chemical_formula_sum 'Tl3 Fe2 W1 O9'
_space_group_name_H-M_alt 'P -3 m 1'
_space_group_IT_number 164
_space_group_name_Hall '-P 3 2"'
_cell_length_a 5.6529
_cell_length_b 5.6529
_cell_length_c 7.0182
_cell_angle_alpha 90.00
_cell_angle_beta 90.00
_cell_angle_gamma 120.00
loop_
_atom_site_label
_atom_site_type_symbol
_atom_site_fract_x
_atom_site_fract_y
_atom_site_fract_z
Tl1 Tl 0.0000 0.0000 0.0000
Tl2 Tl 0.3333 0.6667 0.7266
Fe1 Fe 0.3333 0.6667 0.1777
W1 W 0.0000 0.0000 0.5000
O1 O 0.0000 0.5000 0.0000
O2 O 0.1622 0.3245 0.3384
# DOS at the Fermi energy: 0.315 states/eV per atom
# Total DFT energy (no corrections): -5.8102 eV/atom

(3)
# GGA+U YTl2FeO6, optimized geometry
data_YTl2FeO6
_chemical_formula_sum 'Y3 Tl6 Fe3 O18'
_space_group_name_H-M_alt 'R 3'
_space_group_IT_number 146
_space_group_name_Hall 'R 3'
_cell_length_a 5.6002
_cell_length_b 5.6002
_cell_length_c 14.6113
_cell_angle_alpha 90.00
_cell_angle_beta 90.00
_cell_angle_gamma 120.00
loop_
_atom_site_label
_atom_site_type_symbol
_atom_site_fract_x
_atom_site_fract_y
_atom_site_fract_z
Y1 Y 0.0000 0.0000 0.0000
Tl1 Tl 0.0000 0.0000 0.2666
Tl2 Tl 0.0000 0.0000 0.7785
Fe1 Fe 0.0000 0.0000 0.4907
O1 O 0.0100 0.3901 0.2299
O2 O 0.0694 0.6930 0.0743
# Total DFT energy (no corrections): -6.0171 eV/atom

(4)
# GGA+U ZrTlFeO2, optimized geometry
data_ZrTlFeO2
_chemical_formula_sum 'Zr1 Tl1 Fe1 O2'
_space_group_name_H-M_alt 'P 4/m m m'
_space_group_IT_number 123
_space_group_name_Hall '-P 4 2'
_cell_length_a 4.051
_cell_length_b 4.051
_cell_length_c 5.162
_cell_angle_alpha 90.00
_cell_angle_beta 90.00
_cell_angle_gamma 90.00
loop_
_atom_site_label
_atom_site_type_symbol
_atom_site_fract_x
_atom_site_fract_y
_atom_site_fract_z
Zr1 Zr 0.000 0.000 0.000
Tl1 Tl 0.500 0.500 0.000
Fe1 Fe 0.500 0.500 0.500
O1 O 0.000 0.500 0.500
# DOS at the Fermi energy: 0.456 states/eV per atom
# Total DFT energy (no corrections): -5.4704 eV/atom

(5)
# GGA+U Tm3Fe5O12, optimized geometry
data_Tm3Fe5O12
_chemical_formula_sum 'Tm24 Fe40 O96'
_space_group_name_H-M_alt 'I a -3 d'
_space_group_IT_number 230
_space_group_name_Hall '-I 4bd 2c 3'
_cell_length_a 12.315
_cell_length_b 12.315
_cell_length_c 12.315
_cell_angle_alpha 90.00
_cell_angle_beta 90.00
_cell_angle_gamma 90.00
loop_
_atom_site_label
_atom_site_type_symbol
_atom_site_fract_x
_atom_site_fract_y
_atom_site_fract_z
Tm1 Tm 0.000 0.250 0.125
Fe1 Fe 0.000 0.000 0.000
Fe2 Fe 0.000 0.250 0.375
O1 O 0.025 0.057 0.649
# DOS at the Fermi energy: 0.282 states/eV per atom
# Total DFT energy (no corrections): -7.1003 eV/atom

(6)
# GGA+U Tm3FeO6, optimized geometry
data_Tm3FeO6
_chemical_formula_sum 'Tm12 Fe4 O24'
_space_group_name_H-M_alt 'C m c 21'
_space_group_IT_number 36
_cell_length_a 8.758
_cell_length_b 10.981
_cell_length_c 5.401
_cell_angle_alpha 90.00
_cell_angle_beta 90.00
_cell_angle_gamma 90.00
loop_
_space_group_symop_operation_xyz
'x,y,z'
'-x,-y,z+1/2'
'-x,y,z'
'x,-y,z+1/2'
'x+1/2,y+1/2,z'
'-x+1/2,-y+1/2,z+1/2'
'-x+1/2,y+1/2,z'
'x+1/2,-y+1/2,z+1/2'
loop_
_atom_site_label
_atom_site_type_symbol
_atom_site_fract_x
_atom_site_fract_y
_atom_site_fract_z
Tm1 Tm 0.000 0.101 0.000
Tm2 Tm 0.193 0.395 0.048
Fe1 Fe 0.000 0.308 0.577
O1 O 0.000 0.283 0.228
O2 O 0.000 0.463 0.740
O3 O 0.160 0.235 0.763
O4 O 0.161 0.017 0.274
# DOS at the Fermi energy: 0.000 states/eV per atom
# Total DFT energy (no corrections): -7.9885 eV/atom

(7)
# GGA+U Tm2FeO5, optimized geometry
data_Tm2FeO5
_chemical_formula_sum 'Tm8 Fe4 O20'
_space_group_name_H-M_alt 'P n m a'
_space_group_IT_number 62
_cell_length_a 10.261
_cell_length_b 3.645
_cell_length_c 11.200
_cell_angle_alpha 90.00
_cell_angle_beta 90.00
_cell_angle_gamma 90.00
loop_
_space_group_symop_operation_xyz
'x,y,z'
'-x,-y,-z'
'-x+1/2,-y,z+1/2'
'x+1/2,y,-z+1/2'
'x+1/2,-y+1/2,-z+1/2'
'-x+1/2,y+1/2,z+1/2'
'-x,y+1/2,-z'
'x,-y+1/2,z'
loop_
_atom_site_label
_atom_site_type_symbol
_atom_site_fract_x
_atom_site_fract_y
_atom_site_fract_z
Tm1 Tm 0.105 0.250 0.223
Tm2 Tm 0.135 0.250 0.557
Fe1 Fe 0.182 0.250 0.879
O1 O 0.009 0.250 0.835
O2 O 0.012 0.750 0.602
O3 O 0.218 0.250 0.044
O4 O 0.242 0.750 0.226
O5 O 0.249 0.750 0.883
# DOS at the Fermi energy: 0.231 states/eV per atom
# Total DFT energy (no corrections): -7.6162 eV/atom

(8)
# GGA+U Tm2UFeO8, optimized geometry
data_Tm2UFeO8
_chemical_formula_sum 'Tm4 U2 Fe2 O16'
_space_group_name_H-M_alt 'C m m m'
_space_group_IT_number 65
_space_group_name_Hall '-C 2 2'
_cell_length_a 6.911
_cell_length_b 7.152
_cell_length_c 6.692
_cell_angle_alpha 90.00
_cell_angle_beta 90.00
_cell_angle_gamma 90.00
loop_
_atom_site_label
_atom_site_type_symbol
_atom_site_fract_x
_atom_site_fract_y
_atom_site_fract_z
Tm1 Tm 0.000 0.000 0.239
U1 U 0.000 0.500 0.500
Fe1 Fe 0.000 0.500 0.000
O1 O 0.000 0.315 0.253
O2 O 0.204 0.000 0.500
O3 O 0.215 0.000 0.000
# DOS at the Fermi energy: 0.769 states/eV per atom
# Total DFT energy (no corrections): -8.2265 eV/atom